No. 1
A geometry-optimized Mg2MnCl structure, computed with PBE.

Results
- M_tot: 4.27 μB per formula unit
- Density of states at the Fermi level: 4.5 states/eV/cell
- Space-group type: F-43m, No. 216
- Total energy: -3.20 eV/atom
- Excess energy over the best structure of this formula in the dataset: 0.655 eV per atom
- Formation energy without anion corrections: 1.397 eV/f.u.

a = 5.0367 Å, b = 5.0367 Å, c = 5.0367 Å
α = 60.00°, β = 60.00°, γ = 60.00°
Last column: magnetic moment on the atom in μB.
Element x y z (fractional)
Cl1 0.5000 0.5000 0.5000  0.06
Mg1 0.0000 0.0000 0.0000  -0.02
Mg2 0.2500 0.2500 0.2500  -0.04
Mn1 0.7500 0.7500 0.7500  4.09

No. 2
A geometry-optimized ScCr2Rh structure, computed with PBE.

Results
- M_tot: 3.73 μB per formula unit
- Energy of formation from the pure elements: 229 meV per atom
- Density of states at the Fermi level: 5.6 states/eV/cell
- Space-group type: Fm-3m, No. 225
- Total energy: -8.00 eV/atom
- Excess energy over the best structure of this formula in the dataset: 0.384 eV per atom

a = 4.3552 Å, b = 4.3552 Å, c = 4.3552 Å
α = 60.00°, β = 60.00°, γ = 60.00°
Last column: magnetic moment on the atom in μB.
Element x y z (fractional)
Sc1 0.0000 0.0000 0.0000  0.04
Cr1 0.2500 0.2500 0.2500  1.69
Cr2 0.7500 0.7500 0.7500  1.69
Rh1 0.5000 0.5000 0.5000  0.16

No. 3
A geometry-optimized Li2CaNbHg structure, computed with PBE.

Results
- M_tot: 3.33 μB per formula unit
- Energy of formation from the pure elements: 688 meV per atom
- Density of states at the Fermi level: 3.6 states/eV/cell
- Space-group type: P4/mmm, No. 123
- Total energy: -2.55 eV/atom

a = 5.0594 Å, b = 5.4454 Å, c = 5.0594 Å
α = 90.00°, β = 90.00°, γ = 90.00°
Last column: magnetic moment on the atom in μB.
Element x y z (fractional)
Nb1 0.0000 0.0000 0.0000  2.45
Ca1 0.5000 0.5000 0.5000  -0.02
Hg1 0.0000 0.5000 0.0000  0.07
Li1 0.0000 0.0000 0.5000  0.07
Li2 0.5000 0.0000 0.0000  0.13

No. 4
A geometry-optimized Ir3PdSe8 structure, computed with PBE.

Results
- M_tot: 0.00 μB per formula unit
- Density of states at the Fermi level: 7.1 states/eV/cell
- Space-group type: C2/m, No. 12
- Total energy: -5.25 eV/atom
- Formation energy without anion corrections: -3.376 eV/f.u.

a = 7.4969 Å, b = 7.4854 Å, c = 8.3215 Å
α = 132.95°, β = 90.00°, γ = 120.05°
Element x y z (fractional)
Ir1 0.5000 0.0000 0.0000
Ir2 0.5000 0.5000 0.0000
Ir3 0.0000 0.5000 0.0000
Pd1 0.0000 0.0000 0.0000
Se1 0.2063 0.4125 0.7500
Se2 0.7937 0.5875 0.2500
Se3 0.2124 0.9165 0.7500
Se4 0.7042 0.9165 0.7500
Se5 0.7002 0.4005 0.7455
Se6 0.2998 0.5995 0.2545
Se7 0.2958 0.0835 0.2500
Se8 0.7876 0.0835 0.2500

No. 5
A geometry-optimized LaTbBi structure, computed with PBE.

Results
- M_tot: 0.17 μB per formula unit
- Energy of formation from the pure elements: -352 meV per atom
- Density of states at the Fermi level: 6.1 states/eV/cell
- Space-group type: Immm, No. 71
- Total energy: -4.83 eV/atom

a = 6.0852 Å, b = 3.5433 Å, c = 10.0127 Å
α = 100.19°, β = 107.69°, γ = 90.00°
Last column: magnetic moment on the atom in μB.
Element x y z (fractional)
La1 0.3321 0.8321 0.6642  0.00
La2 0.6679 0.1679 0.3358  0.00
Tb1 0.2548 0.5000 0.0000  -0.14
Tb2 0.7452 0.5000 0.0000  -0.14
Bi1 0.8454 0.3454 0.6909  0.00
Bi2 0.1546 0.6546 0.3091  0.00

No. 6
A geometry-optimized Nd5Ag structure, computed with PBE.

Results
- M_tot: 0.00 μB per formula unit
- Energy of formation from the pure elements: 23 meV per atom
- Density of states at the Fermi level: 8.1 states/eV/cell
- Space-group type: Cmmm, No. 65
- Total energy: -4.43 eV/atom

a = 5.0347 Å, b = 4.9274 Å, c = 8.1201 Å
α = 107.66°, β = 90.00°, γ = 90.00°
Element x y z (fractional)
Nd1 0.5000 0.8322 0.6644
Nd2 0.0000 0.6627 0.3254
Nd3 0.5000 0.5000 0.0000
Nd4 0.0000 0.3373 0.6746
Nd5 0.5000 0.1678 0.3356
Ag1 0.0000 0.0000 0.0000

No. 7
A geometry-optimized Li2AgP structure, computed with PBE.

Results
- M_tot: 0.00 μB per formula unit
- Energy of formation from the pure elements: -271 meV per atom
- Density of states at the Fermi level: 0.0 states/eV/cell
- Space-group type: I4_1/amd, No. 141
- Total energy: -3.29 eV/atom

a = 9.4449 Å, b = 9.4449 Å, c = 7.0879 Å
α = 48.22°, β = 48.22°, γ = 90.00°
Element x y z (fractional)
P1 0.5000 0.5000 0.0000
P2 0.2500 0.7500 0.5000
Ag1 0.0000 0.0000 0.0000
Ag2 0.7500 0.2500 0.5000
Li1 0.3753 0.1250 0.2500
Li2 0.3747 0.6250 0.2500
Li3 0.3750 0.6247 0.7500
Li4 0.8750 0.6253 0.7500

No. 8
A geometry-optimized Sr3Dy2NpN6 structure, computed with PBE.

Results
- M_tot: 1.00 μB per formula unit
- Density of states at the Fermi level: 0.2 states/eV/cell
- Space-group type: C2/m, No. 12
- Total energy: -7.64 eV/atom
- Formation energy without anion corrections: -14.580 eV/f.u.

a = 6.1276 Å, b = 6.1276 Å, c = 6.3384 Å
α = 99.30°, β = 99.30°, γ = 119.98°
Last column: magnetic moment on the atom in μB.
Element x y z (fractional)
Sr1 0.1671 0.8329 0.5000  0.00
Sr2 0.8329 0.1671 0.5000  0.00
Sr3 0.5000 0.5000 0.5000  0.00
Dy1 0.3334 0.6666 0.0000  0.00
Dy2 0.6666 0.3334 0.0000  0.00
Np1 0.0000 0.0000 0.0000  1.28
N1 0.9320 0.6257 0.7955  -0.04
N2 0.7626 0.7626 0.2028  -0.04
N3 0.0680 0.3743 0.2045  -0.04
N4 0.6257 0.9320 0.7955  -0.04
N5 0.2374 0.2374 0.7972  -0.04
N6 0.3743 0.0680 0.2045  -0.04

Which value of total energy does entry 7 give?
-3.29 eV/atom